AlB3Te | PBE | relaxed

Lattice parameters (Å, degrees): 4.437 4.437 4.437 90.00 90.00 90.00
Atoms (fractional coordinates):
Al (0.000, 0.000, 0.000)
B (0.000, 0.500, 0.500)
B (0.500, 0.000, 0.500)
B (0.500, 0.500, 0.000)
Te (0.500, 0.500, 0.500)

Values from the calculation:
As for the formation energy (no corrections): 2.196 eV/atom. As for the crystal system: cubic. The value obtained for the offset from the most stable computed form is 516.2 meV per atom. For the density of states at the Fermi level, the calculation gives 0.50 states/eV per atom.

***

Ce2MnGe6Rh | PBE | relaxed

Lattice parameters (Å, degrees): 6.457 8.797 7.041 90.00 90.00 90.00
Atoms (fractional coordinates):
Ce (0.250, 0.002, 0.239)
Ce (0.250, 0.498, 0.239)
Ce (0.750, 0.502, 0.761)
Ce (0.750, 0.998, 0.761)
Mn (0.250, 0.750, 0.900)
Mn (0.750, 0.250, 0.100)
Ge (0.056, 0.250, 0.931)
Ge (0.059, 0.750, 0.577)
Ge (0.250, 0.507, 0.747)
Ge (0.250, 0.993, 0.747)
Ge (0.441, 0.750, 0.577)
Ge (0.444, 0.250, 0.931)
Ge (0.556, 0.750, 0.069)
Ge (0.559, 0.250, 0.423)
Ge (0.750, 0.007, 0.253)
Ge (0.750, 0.493, 0.253)
Ge (0.941, 0.250, 0.423)
Ge (0.944, 0.750, 0.069)
Rh (0.250, 0.250, 0.611)
Rh (0.750, 0.750, 0.389)

Values from the calculation:
As for the crystal system: orthorhombic. The formation energy comes out at -4.03 eV per formula unit. For the density of states at the Fermi level, the calculation gives 1.34 states/eV per atom.

***

Pr12Si3C5 | PBE | relaxed

Lattice parameters (Å, degrees): 14.079 14.079 14.079 109.47 109.47 109.47
Atoms (fractional coordinates):
Pr (0.028, 0.208, 0.121)
Pr (0.028, 0.320, 0.907)
Pr (0.087, 0.708, 0.680)
Pr (0.087, 0.879, 0.407)
Pr (0.093, 0.621, 0.413)
Pr (0.093, 0.972, 0.680)
Pr (0.121, 0.028, 0.208)
Pr (0.121, 0.593, 0.913)
Pr (0.180, 0.208, 0.587)
Pr (0.180, 0.472, 0.593)
Pr (0.208, 0.121, 0.028)
Pr (0.208, 0.587, 0.180)
Pr (0.292, 0.320, 0.913)
Pr (0.292, 0.472, 0.379)
Pr (0.320, 0.907, 0.028)
Pr (0.320, 0.913, 0.292)
Pr (0.379, 0.292, 0.472)
Pr (0.379, 0.587, 0.907)
Pr (0.407, 0.087, 0.879)
Pr (0.407, 0.820, 0.528)
Pr (0.413, 0.093, 0.621)
Pr (0.413, 0.820, 0.792)
Pr (0.472, 0.379, 0.292)
Pr (0.472, 0.593, 0.180)
Pr (0.528, 0.407, 0.820)
Pr (0.528, 0.621, 0.708)
Pr (0.587, 0.180, 0.208)
Pr (0.587, 0.907, 0.379)
Pr (0.593, 0.180, 0.472)
Pr (0.593, 0.913, 0.121)
Pr (0.621, 0.413, 0.093)
Pr (0.621, 0.708, 0.528)
Pr (0.680, 0.087, 0.708)
Pr (0.680, 0.093, 0.972)
Pr (0.708, 0.528, 0.621)
Pr (0.708, 0.680, 0.087)
Pr (0.792, 0.413, 0.820)
Pr (0.792, 0.879, 0.972)
Pr (0.820, 0.528, 0.407)
Pr (0.820, 0.792, 0.413)
Pr (0.879, 0.407, 0.087)
Pr (0.879, 0.972, 0.792)
Pr (0.907, 0.028, 0.320)
Pr (0.907, 0.379, 0.587)
Pr (0.913, 0.121, 0.593)
Pr (0.913, 0.292, 0.320)
Pr (0.972, 0.680, 0.093)
Pr (0.972, 0.792, 0.879)
Si (0.125, 0.250, 0.375)
Si (0.125, 0.375, 0.750)
Si (0.250, 0.375, 0.125)
Si (0.250, 0.875, 0.625)
Si (0.375, 0.125, 0.250)
Si (0.375, 0.750, 0.125)
Si (0.625, 0.250, 0.875)
Si (0.625, 0.875, 0.750)
Si (0.750, 0.125, 0.375)
Si (0.750, 0.625, 0.875)
Si (0.875, 0.625, 0.250)
Si (0.875, 0.750, 0.625)
C (0.000, 0.000, 0.000)
C (0.000, 0.000, 0.500)
C (0.000, 0.500, 0.000)
C (0.000, 0.500, 0.500)
C (0.125, 0.750, 0.875)
C (0.125, 0.875, 0.250)
C (0.250, 0.125, 0.875)
C (0.250, 0.625, 0.375)
C (0.375, 0.250, 0.625)
C (0.375, 0.625, 0.750)
C (0.500, 0.000, 0.000)
C (0.500, 0.000, 0.500)
C (0.500, 0.500, 0.000)
C (0.500, 0.500, 0.500)
C (0.625, 0.375, 0.250)
C (0.625, 0.750, 0.375)
C (0.750, 0.375, 0.625)
C (0.750, 0.875, 0.125)
C (0.875, 0.125, 0.750)
C (0.875, 0.250, 0.125)

Values from the calculation:
As for the formation energy (no corrections): -0.131 eV/atom. As for the crystal system: cubic. For the density of states at the Fermi level, the calculation gives 0.64 states/eV per atom.

***

PmDyMgCu | PBE | relaxed

Lattice parameters (Å, degrees): 5.193 5.193 5.193 60.00 60.00 60.00
Atoms (fractional coordinates):
Pm (0.000, 0.000, 0.000)
Dy (0.500, 0.500, 0.500)
Mg (0.250, 0.250, 0.250)
Cu (0.750, 0.750, 0.750)

Values from the calculation:
As for the crystal system: cubic. The formation energy comes out at -0.21 eV per formula unit. For the density of states at the Fermi level, the calculation gives 1.07 states/eV per atom.

***

EuZrO3 | PBE | relaxed

Lattice parameters (Å, degrees): 5.913 8.242 5.784 90.00 90.00 90.00
Atoms (fractional coordinates):
Eu (0.046, 0.250, 0.012)
Eu (0.454, 0.750, 0.512)
Eu (0.546, 0.250, 0.488)
Eu (0.954, 0.750, 0.988)
Zr (0.000, 0.000, 0.500)
Zr (0.000, 0.500, 0.500)
Zr (0.500, 0.000, 0.000)
Zr (0.500, 0.500, 0.000)
O (0.028, 0.750, 0.407)
O (0.209, 0.549, 0.793)
O (0.209, 0.951, 0.793)
O (0.291, 0.049, 0.293)
O (0.291, 0.451, 0.293)
O (0.472, 0.250, 0.907)
O (0.528, 0.750, 0.093)
O (0.709, 0.549, 0.707)
O (0.709, 0.951, 0.707)
O (0.791, 0.049, 0.207)
O (0.791, 0.451, 0.207)
O (0.972, 0.250, 0.593)

Values from the calculation:
As for the formation energy (no corrections): -3.220 eV/atom. As for the crystal system: orthorhombic. For the density of states at the Fermi level, the calculation gives 2.24 states/eV per atom.

***

Nd2Dy3Y2 | PBE | relaxed

Lattice parameters (Å, degrees): 3.595 6.197 10.780 95.40 90.02 106.76
Atoms (fractional coordinates):
Nd (0.215, 0.428, 0.356)
Nd (0.785, 0.572, 0.644)
Dy (0.357, 0.714, 0.930)
Dy (0.500, 0.000, 0.500)
Dy (0.643, 0.286, 0.070)
Y (0.071, 0.141, 0.788)
Y (0.929, 0.859, 0.212)

Values from the calculation:
As for the crystal system: triclinic. The formation energy comes out at 0.13 eV per formula unit. The value obtained for the offset from the most stable computed form is 0.0 meV per atom. For the density of states at the Fermi level, the calculation gives 1.33 states/eV per atom.